A relaxed NaZnF3 crystal, computed with PBE.

Cell lengths 5.3283, 5.3283, 6.2358 Å; angles 64.71, 64.71, 60.00 degrees
Last column: nearest neighbours and their distance in Å.
Fractional positions:
Zn: 0.3417 0.3417 0.9748  6 F 2.05-2.12
Na: 0.8576 0.8576 0.4273  6 F 2.33-2.42
F: 0.5238 0.3060 0.2348  2 Zn 2.05-2.12
F: 0.6940 0.4762 0.7652  2 Zn 2.05-2.12
F: 0.4762 0.0645 0.7652  2 Zn 2.05-2.12
F: 0.9355 0.5238 0.2348  2 Zn 2.05-2.12
Na: 0.1424 0.1424 0.5727  6 F 2.33-2.42
F: 0.0645 0.6940 0.7652  2 Zn 2.05-2.12
F: 0.3060 0.9355 0.2348  2 Zn 2.05-2.12
Zn: 0.6583 0.6583 0.0252  6 F 2.05-2.12

Properties
As for the formation energy from raw total energies: -2442 meV per atom. As for the space group: R32. As for the electronic total energy: -4.08 eV/atom.